A plane-wave DFT calculation with PBE-GGA was carried out for a relaxed Sm5Al3 crystal.

## Properties
**Excess energy over the best structure of this formula in the dataset**: 12 meV/atom
**Energy relative to the elements**: -6.05 kcal/mol of atoms
**Theoretical density**: 6062 kg/m3
**Total magnetic moment**: 0.00 μB per atom
**Space-group type**: No. 140

Cell lengths 7.899, 7.899, 9.201 Å; angles 115.42, 115.42, 90.00 degrees
Positions (direct):
Sm  0.178  0.678  0.701
Sm  0.322  0.477  0.299
Sm  0.000  0.000  0.000
Sm  0.023  0.178  0.701
Sm  0.523  0.023  0.701
Sm  0.678  0.523  0.701
Sm  0.477  0.977  0.299
Sm  0.500  0.500  0.000
Sm  0.822  0.322  0.299
Sm  0.977  0.822  0.299
Al  0.118  0.618  0.000
Al  0.250  0.250  0.500
Al  0.882  0.382  0.000
Al  0.382  0.118  0.000
Al  0.750  0.750  0.500
Al  0.618  0.882  0.000